A plane-wave DFT calculation with GGA-PBE was carried out for a relaxed Ta2NbTe crystal.

Unit cell a=10.3838 b=10.3838 c=10.3838 alpha=157.36 beta=157.36 gamma=32.23
Element x y z (fractional)
Ta1 0.1211 0.6250 0.9961
Ta2 0.3750 0.3711 0.4961
Ta3 0.6289 0.1250 0.0039
Ta4 0.8750 0.8789 0.5039
Nb1 0.2500 0.7500 0.5000
Nb2 0.5000 0.5000 0.0000
Te1 0.0000 0.0000 0.0000
Te2 0.7500 0.2500 0.5000

For the density of states at the Fermi level, the calculation gives 5.84 states/eV/cell. Its uncorrected formation energy is 561 meV/atom. Its space group is I-42d (122).

---

A plane-wave DFT calculation with GGA-PBE was carried out for a relaxed TaNb2Te5 crystal.

Unit cell a=7.3806 b=7.3806 c=7.4855 alpha=95.29 beta=95.29 gamma=139.29
Element x y z (fractional)
Ta1 0.0000 0.0000 0.0000
Nb1 0.2700 0.2700 0.6139
Nb2 0.7300 0.7300 0.3861
Te1 0.0029 0.2648 0.3117
Te2 0.2648 0.0029 0.3117
Te3 0.5000 0.5000 0.0000
Te4 0.7352 0.9971 0.6883
Te5 0.9971 0.7352 0.6883

As for the polymorph energy (0 for the lowest one): 48 meV per atom. For the density of states at the Fermi level, the calculation gives 4.95 states/eV/cell. Its uncorrected formation energy is -76 meV/atom. Its space group is C2/m (12).

---

A plane-wave DFT calculation with GGA-PBE was carried out for a relaxed Ta3Nb2Te8 crystal.

Unit cell a=6.9163 b=7.8266 c=7.9073 alpha=60.48 beta=74.26 gamma=89.87
Element x y z (fractional)
Ta1 0.0000 0.0000 0.0000
Ta2 0.4987 0.7142 0.0010
Ta3 0.5013 0.2858 0.9990
Nb1 0.1976 0.7807 0.4376
Nb2 0.8024 0.2193 0.5624
Te1 0.0786 0.6086 0.2444
Te2 0.0804 0.1467 0.2446
Te3 0.3926 0.6281 0.7430
Te4 0.4027 0.1078 0.7838
Te5 0.5973 0.8922 0.2162
Te6 0.6074 0.3719 0.2570
Te7 0.9196 0.8533 0.7554
Te8 0.9214 0.3914 0.7556

For the density of states at the Fermi level, the calculation gives 9.34 states/eV/cell. Its uncorrected formation energy is -59 meV/atom. Its space group is P-1 (2).

---

A plane-wave DFT calculation with GGA-PBE was carried out for a relaxed Ta2NbTe4 crystal.

Unit cell a=12.5346 b=7.3728 c=7.1363 alpha=90.00 beta=90.00 gamma=90.00
Element x y z (fractional)
Ta1 0.0000 0.0000 0.0000
Ta2 0.0000 0.5000 0.0000
Ta3 0.2176 0.2500 0.0170
Ta4 0.2824 0.7500 0.5170
Ta5 0.5000 0.0000 0.5000
Ta6 0.5000 0.5000 0.5000
Ta7 0.7176 0.2500 0.4830
Ta8 0.7824 0.7500 0.9830
Nb1 0.2183 0.7500 0.0152
Nb2 0.2817 0.2500 0.5152
Nb3 0.7183 0.7500 0.4848
Nb4 0.7817 0.2500 0.9848
Te1 0.0796 0.2500 0.7235
Te2 0.0798 0.7500 0.7213
Te3 0.1598 0.9998 0.2914
Te4 0.1598 0.5002 0.2914
Te5 0.3402 0.0002 0.7914
Te6 0.3402 0.4998 0.7914
Te7 0.4202 0.2500 0.2213
Te8 0.4204 0.7500 0.2235
Te9 0.5796 0.2500 0.7765
Te10 0.5798 0.7500 0.7787
Te11 0.6598 0.9998 0.2086
Te12 0.6598 0.5002 0.2086
Te13 0.8402 0.0002 0.7086
Te14 0.8402 0.4998 0.7086
Te15 0.9202 0.2500 0.2787
Te16 0.9204 0.7500 0.2765

As for the polymorph energy (0 for the lowest one): 114 meV per atom. For the density of states at the Fermi level, the calculation gives 23.52 states/eV/cell. Its uncorrected formation energy is -172 meV/atom. Its space group is Pnma (62).

---

A plane-wave DFT calculation with GGA-PBE was carried out for a relaxed TaNbTe crystal.

Unit cell a=5.3185 b=5.3185 c=7.5500 alpha=104.49 beta=104.49 gamma=38.29
Element x y z (fractional)
Ta1 0.1328 0.1328 0.4359
Ta2 0.8672 0.8672 0.5641
Nb1 0.4141 0.4141 0.2741
Nb2 0.5859 0.5859 0.7259
Te1 0.3248 0.3248 0.8464
Te2 0.6752 0.6752 0.1536

As for the polymorph energy (0 for the lowest one): 0 meV per atom. For the density of states at the Fermi level, the calculation gives 3.98 states/eV/cell. Its uncorrected formation energy is -97 meV/atom. Its space group is C2/m (12).

---

A plane-wave DFT calculation with GGA-PBE was carried out for a relaxed TaNb3Te6 crystal.

Unit cell a=8.1732 b=8.1732 c=8.1732 alpha=84.94 beta=84.94 gamma=84.94
Element x y z (fractional)
Ta1 0.0000 0.0000 0.0000
Ta2 0.5000 0.5000 0.5000
Nb1 0.0907 0.6389 0.2191
Nb2 0.2191 0.0907 0.6389
Nb3 0.3611 0.7809 0.9093
Nb4 0.6389 0.2191 0.0907
Nb5 0.7809 0.9093 0.3611
Nb6 0.9093 0.3611 0.7809
Te1 0.0522 0.6726 0.8876
Te2 0.1124 0.9478 0.3274
Te3 0.1772 0.4223 0.5402
Te4 0.3274 0.1124 0.9478
Te5 0.4223 0.5402 0.1772
Te6 0.4598 0.8228 0.5777
Te7 0.5402 0.1772 0.4223
Te8 0.5777 0.4598 0.8228
Te9 0.6726 0.8876 0.0522
Te10 0.8228 0.5777 0.4598
Te11 0.8876 0.0522 0.6726
Te12 0.9478 0.3274 0.1124

For the density of states at the Fermi level, the calculation gives 18.68 states/eV/cell. Its uncorrected formation energy is -45 meV/atom. Its space group is R-3 (148).

---

A plane-wave DFT calculation with GGA-PBE was carried out for a relaxed TaNb2VTe crystal.

Unit cell a=4.9538 b=4.9538 c=4.9702 alpha=90.00 beta=90.00 gamma=90.00
Element x y z (fractional)
Ta1 0.0000 0.0000 0.0000
Nb1 0.0000 0.5000 0.5000
Nb2 0.5000 0.0000 0.5000
V1 0.5000 0.5000 0.0000
Te1 0.0000 0.0000 0.5000

For the density of states at the Fermi level, the calculation gives 7.28 states/eV/cell. Its uncorrected formation energy is 1816 meV/atom. Its space group is P4/mmm (123).

---

A plane-wave DFT calculation with GGA-PBE was carried out for a relaxed TaNbTeW2 crystal.

Unit cell a=4.8278 b=4.8278 c=4.8798 alpha=90.00 beta=90.00 gamma=90.00
Element x y z (fractional)
Ta1 0.0000 0.0000 0.0000
Nb1 0.5000 0.5000 0.0000
Te1 0.5000 0.5000 0.5000
W1 0.0000 0.5000 0.5000
W2 0.5000 0.0000 0.5000

For the density of states at the Fermi level, the calculation gives 11.18 states/eV/cell. Its uncorrected formation energy is 2171 meV/atom. Its space group is P4/mmm (123).

---

A plane-wave DFT calculation with GGA-PBE was carried out for a relaxed ThTaNb2 crystal.

Unit cell a=3.4204 b=3.4204 c=7.2800 alpha=90.00 beta=90.00 gamma=90.00
Element x y z (fractional)
Th1 0.0000 0.0000 0.0000
Ta1 0.0000 0.0000 0.5000
Nb1 0.5000 0.5000 0.2841
Nb2 0.5000 0.5000 0.7159

For the density of states at the Fermi level, the calculation gives 4.92 states/eV/cell. The value obtained for the energy of formation is 0.67 eV/f.u. Its space group is P4/mmm (123).

---

A plane-wave DFT calculation with GGA-PBE was carried out for a relaxed ThTa4Nb crystal.

Unit cell a=5.6257 b=5.6257 c=5.6257 alpha=60.00 beta=60.00 gamma=60.00
Element x y z (fractional)
Th1 0.0000 0.0000 0.0000
Ta1 0.3748 0.3748 0.3748
Ta2 0.3748 0.3748 0.8757
Ta3 0.3748 0.8757 0.3748
Ta4 0.8757 0.3748 0.3748
Nb1 0.7500 0.7500 0.7500

For the density of states at the Fermi level, the calculation gives 7.23 states/eV/cell. The value obtained for the energy of formation is 1.09 eV/f.u. Its space group is F-43m (216).

---

A plane-wave DFT calculation with GGA-PBE was carried out for a relaxed Ta6TiNb12 crystal.

Unit cell a=7.1086 b=7.1086 c=7.1086 alpha=90.13 beta=90.13 gamma=90.13
Element x y z (fractional)
Ta1 0.2320 0.7607 0.3864
Ta2 0.2393 0.6136 0.7680
Ta3 0.3864 0.2320 0.7607
Ta4 0.6136 0.7680 0.2393
Ta5 0.7607 0.3864 0.2320
Ta6 0.7680 0.2393 0.6136
Ti1 0.5000 0.5000 0.5000
Nb1 0.0205 0.3105 0.9209
Nb2 0.0791 0.9795 0.6895
Nb3 0.1234 0.3518 0.4413
Nb4 0.3105 0.9209 0.0205
Nb5 0.3518 0.4413 0.1234
Nb6 0.4413 0.1234 0.3518
Nb7 0.5587 0.8766 0.6482
Nb8 0.6482 0.5587 0.8766
Nb9 0.6895 0.0791 0.9795
Nb10 0.8766 0.6482 0.5587
Nb11 0.9209 0.0205 0.3105
Nb12 0.9795 0.6895 0.0791

For the density of states at the Fermi level, the calculation gives 20.26 states/eV/cell. The value obtained for the energy of formation is 3.00 eV/f.u. Its space group is R-3 (148).

---

A plane-wave DFT calculation with GGA-PBE was carried out for a relaxed Ta6TiNb3 crystal.

Unit cell a=6.7014 b=6.7014 c=6.7014 alpha=60.00 beta=60.00 gamma=60.00
Element x y z (fractional)
Ta1 0.2450 0.2450 0.7550
Ta2 0.2450 0.7550 0.2450
Ta3 0.2450 0.7550 0.7550
Ta4 0.7550 0.2450 0.2450
Ta5 0.7550 0.2450 0.7550
Ta6 0.7550 0.7550 0.2450
Ti1 0.0000 0.0000 0.0000
Nb1 0.2500 0.2500 0.2500
Nb2 0.5000 0.5000 0.5000
Nb3 0.7500 0.7500 0.7500

As for the polymorph energy (0 for the lowest one): 1500 meV per atom. For the density of states at the Fermi level, the calculation gives 11.02 states/eV/cell. The value obtained for the energy of formation is 15.12 eV/f.u. Its space group is Fm-3m (225).